# 1
# Co2Cu2Os

A relaxed Co2Cu2Os crystal (GGA-PBEsol, the Alexandria database).

Structure (POSCAR):
```
Co2Cu2Os
1.0
-2.923 -0.405 -1.176
-0.867 -1.491 2.668
0.192 6.247 1.662
Co Cu Os
2 2 1
direct
0.404 0.404 0.808 Co
0.596 0.596 0.192 Co
0.750 0.250 0.500 Cu
0.250 0.750 0.500 Cu
0.000 0.000 0.000 Os
```

Output
**Formation energy from the elements**: 0.69 eV/atom
**SG**: I4/mmm (139)


# 2
# Co2CuP

A relaxed Co2CuP crystal (GGA-PBEsol, the Alexandria database).

Structure (POSCAR):
```
Co2CuP
1.0
2.637 0.000 -0.007
0.000 3.756 0.000
-1.307 0.000 4.393
Co Cu P
2 1 1
direct
0.426 0.500 0.227 Co
0.810 0.000 0.995 Co
0.072 0.000 0.521 Cu
0.692 0.500 0.757 P
```

Output
**Formation energy from the elements**: -0.06 eV/atom
**SG**: Pm (6)


Copy entry 2 word for word.
# Co2CuP

A relaxed Co2CuP crystal (GGA-PBEsol, the Alexandria database).

Structure (POSCAR):
```
Co2CuP
1.0
2.637 0.000 -0.007
0.000 3.756 0.000
-1.307 0.000 4.393
Co Cu P
2 1 1
direct
0.426 0.500 0.227 Co
0.810 0.000 0.995 Co
0.072 0.000 0.521 Cu
0.692 0.500 0.757 P
```

Output
**Formation energy from the elements**: -0.06 eV/atom
**SG**: Pm (6)